{
  "formula": "BaCa3Te",
  "functional": "SCAN",
  "state": "PBEsol geometry",
  "formation_energy_uncorrected_ev_per_atom": 0.835,
  "sg": "Pm-3m (221)",
  "dos_ef_per_ev_fu": 6.00,
  "lattice": [[5.7310, 0.0000, 0.0000], [0.0000, 5.7310, 0.0000], [0.0000, 0.0000, 5.7310]],
  "species": ["Ca", "Ca", "Ca", "Te", "Ba"],
  "frac_coords": [[0.0000, 0.5000, 0.0000], [0.0000, 0.0000, 0.5000], [0.5000, 0.0000, 0.0000], [0.5000, 0.5000, 0.5000], [0.0000, 0.0000, 0.0000]]
}